## Ba2SbMo (PBE)

Data for a geometry-optimized Ba2SbMo structure.

Results
DOS(E_F): 3.4 states/eV per cell
energy relative to the elements, uncorrected: 429 meV/atom

Lattice parameters (Å, degrees): 6.5439 6.5439 6.5439 134.69 134.69 66.01
Site moments in Bohr magnetons follow the coordinates.
Sites, in units of the cell vectors:
Ba: 0.0000 0.0000 0.0000  0.04
Ba: 0.2500 0.7500 0.5000  0.06
Mo: 0.5000 0.5000 0.0000  3.35
Sb: 0.7500 0.2500 0.5000  0.01

## BaSb2Mo (PBE)

Data for a geometry-optimized BaSb2Mo structure.

Results
energy relative to the lowest polymorph listed for this composition: 0.297 eV per atom
DOS(E_F): 2.8 states/eV per cell
energy relative to the elements, uncorrected: 113 meV/atom

Lattice parameters (Å, degrees): 3.7315 3.7315 8.0503 90.00 90.00 90.00
Site moments in Bohr magnetons follow the coordinates.
Sites, in units of the cell vectors:
Ba: 0.0000 0.0000 0.5052  0.07
Mo: 0.5000 0.5000 0.8503  0.22
Sb: 0.0000 0.0000 0.9447  0.00
Sb: 0.5000 0.5000 0.1997  0.00